Y2SnH after structural relaxation. Source: the Alexandria database, functional PBE-GGA.

Cell: 3.5488 3.5488 23.7066 Å, 90.00 90.00 120.00°
Closest atoms and distances in Å follow each position.
Space group R-3m (No. 166, hexagonal axes)
Inequivalent atoms, fractional coordinates:
Y (0.0000, 0.0000, 0.2253)  3 H 2.48
Sn (0.0000, 0.0000, 0.0000)  6 Y 3.28, 6 Sn 3.55
H (0.0000, 0.0000, 0.5000)  6 Y 2.48

Properties
The total energy is -5.50 eV/atom. Its crystal system is trigonal.


ScFeAu2 after structural relaxation. Source: the Alexandria database, functional PBE-GGA.

Cell: 3.1888 3.6748 5.9383 Å, 90.00 90.31 90.00°
Closest atoms and distances in Å follow each position.
Space group P2/m (No. 10)
Inequivalent atoms, fractional coordinates:
Sc (0.0000, 0.0000, 0.0000)  8 Au 2.89, 2 Fe 2.97, 2 Sc 3.19
Fe (0.0000, 0.0000, 0.5000)  8 Au 2.80-2.82, 2 Sc 2.97
Au (0.4977, 0.5000, 0.7361)  4 Fe 2.80-2.82, 2 Au 2.80-3.13, 4 Sc 2.89

Properties
Its crystal system is monoclinic. The formation energy comes out at -0.2963 eV per atom.


NdGd2In after structural relaxation. Source: the Alexandria database, functional PBE-GGA.

Cell: 3.5467 3.5467 36.6698 Å, 90.00 90.00 120.00°
Closest atoms and distances in Å follow each position.
Space group R-3m (No. 166, hexagonal axes)
Inequivalent atoms, fractional coordinates:
Nd (0.0000, 0.0000, 0.0000)  6 Nd 3.55, 6 Gd 3.55
Gd (0.0000, 0.0000, 0.4125)  1 In 3.21, 6 Gd 3.55, 3 Nd 3.55
In (0.0000, 0.0000, 0.5000)  2 Gd 3.21, 6 In 3.55

Properties
Its crystal system is trigonal. The formation energy comes out at 0.1029 eV per atom.


NdSm3Ni8 after structural relaxation. Source: the Alexandria database, functional PBE-GGA.

Cell: 5.1383 5.1383 25.2342 Å, 90.00 90.00 120.00°
Closest atoms and distances in Å follow each position.
Space group R3m (No. 160, hexagonal axes)
Inequivalent atoms, fractional coordinates:
Nd (0.0000, 0.0000, 0.0000)  12 Ni 3.01-3.03, 4 Sm 3.15
Sm (0.0000, 0.0000, 0.1250)  12 Ni 3.01, 3 Sm 3.15, 1 Nd 3.15
Sm (0.0000, 0.0000, 0.4999)  12 Ni 3.01, 4 Sm 3.15
Sm (0.0000, 0.0000, 0.6246)  12 Ni 3.01-3.03, 1 Sm 3.15, 3 Nd 3.15
Ni (0.0000, 0.0000, 0.3123)  6 Ni 2.58
Ni (0.0000, 0.0000, 0.8124)  6 Ni 2.57
Ni (0.0001, 0.5000, 0.0628)  6 Ni 2.57-2.58
Ni (0.1671, 0.3342, 0.8954)  6 Ni 2.56-2.58

Properties
Its crystal system is trigonal. The formation energy comes out at -0.3494 eV per atom.


BaNiRu2 after structural relaxation. Source: the Alexandria database, functional PBE-GGA.

Cell: 5.3468 9.5540 2.9281 Å, 90.00 90.00 90.00°
Closest atoms and distances in Å follow each position.
Space group Cmmm (No. 65)
Inequivalent atoms, fractional coordinates:
Ba (0.0000, 0.0000, 0.0000)  2 Ni 2.67, 2 Ba 2.93
Ni (0.0000, 0.5000, 0.0000)  2 Ba 2.67, 2 Ni 2.93
Ru (0.2500, 0.2500, 0.5000)  4 Ru 2.67-2.93

Properties
Its crystal system is orthorhombic. The formation energy comes out at 1.1625 eV per atom.


HoTaAs2 after structural relaxation. Source: the Alexandria database, functional PBE-GGA.

Cell: 3.8716 3.8716 19.1579 Å, 90.00 90.00 120.00°
Closest atoms and distances in Å follow each position.
Space group R-3m (No. 166, hexagonal axes)
Inequivalent atoms, fractional coordinates:
Ho (0.0000, 0.0000, 0.0000)  6 As 2.84
Ta (0.0000, 0.0000, 0.5000)  6 As 2.66
As (0.0000, 0.0000, 0.2423)  3 Ta 2.66, 3 Ho 2.84

Properties
Its crystal system is trigonal. The formation energy comes out at -0.8118 eV per atom.


CoIr2Au after structural relaxation. Source: the Alexandria database, functional PBE-GGA.

Cell: 2.7645 4.6398 9.2818 Å, 90.00 90.00 90.00°
Closest atoms and distances in Å follow each position.
Space group Imm2 (No. 44)
Inequivalent atoms, fractional coordinates:
Co (0.0000, 0.0000, 0.0000)  6 Ir 2.53-2.71, 2 Au 2.75, 2 Co 2.76
Ir (0.0000, 0.0000, 0.5285)  4 Ir 2.64-2.76, 4 Co 2.71, 2 Au 2.88
Ir (0.0000, 0.5000, 0.2714)  2 Co 2.53, 4 Ir 2.64-2.76, 4 Au 2.70
Au (0.0000, 0.5000, 0.7563)  6 Ir 2.70-2.88, 2 Co 2.75, 2 Au 2.76

Properties
Its crystal system is orthorhombic. The formation energy comes out at 0.4271 eV per atom.


ScC2Br after structural relaxation. Source: the Alexandria database, functional PBE-GGA.

Cell: 5.0810 5.0810 10.5717 Å, 90.00 90.00 90.00°
Closest atoms and distances in Å follow each position.
Space group I-42d (No. 122)
Inequivalent atoms, fractional coordinates:
Sc (0.0000, 0.0000, 0.0000)  4 C 2.23
C (0.2495, 0.2500, 0.6250)  2 Br 2.23, 2 Sc 2.23
Br (0.0000, 0.0000, 0.5000)  4 C 2.23

Properties
The raw formation energy is 1.62 eV per atom. Its crystal system is tetragonal.


Across the entries above, volume takes the values 258.57 69.58 399.47 576.98 149.58 248.69 119.06 272.93 Å³/cell, respectively.